# 1
VASP calculation (GGA-PBE) on crystalline La7Tb2Pr at its relaxed geometry.

The structure in POSCAR format:
```
La7Tb2Pr
1.0
5.8085 0.0000 0.0000
0.0000 9.2779 -0.3702
0.0000 -4.5162 8.1130
La Tb Pr
7 2 1
Cartesian
0.0000 5.9676 1.6655
0.0000 -1.2059 6.0772
2.9043 -0.7301 2.4040
2.9043 5.4918 5.3388
2.9043 2.4748 0.4330
2.9043 2.2869 7.3098
2.9043 2.3809 3.8714
2.9043 5.1766 2.1520
2.9043 -0.4149 5.5908
0.0000 0.0000 0.0000
```

Total magnetic moment ... 0.1 Bohr magnetons per cell
D(E_F) ... 18.46 states/eV/f.u.
Energy above the lowest structure with this stoichiometry ... 261 meV per atom

=====

# 2
VASP calculation (GGA-PBE) on crystalline La5TbPr at its relaxed geometry.

The structure in POSCAR format:
```
La5TbPr
1.0
0.3747 1.9830 6.7530
0.8139 -4.8374 5.0609
12.4566 -0.7420 6.2244
La Tb Pr
10 2 2
Cartesian
9.6923 -2.1673 7.7924
7.0231 -2.4118 11.0385
3.3603 -0.1856 5.0798
10.0820 -4.2400 10.0155
0.4089 -1.0491 3.8291
13.2363 -2.5472 14.2091
3.5631 0.6436 8.0228
10.2849 -3.4108 12.9585
6.6221 -1.1846 6.9997
3.9529 -1.4291 10.2459
9.8396 -0.4745 10.9496
3.8056 -3.1219 7.0886
0.0000 0.0000 0.0000
6.2283 -0.3710 3.1122
```

Total magnetic moment ... 0.0 Bohr magnetons per cell
Total energy ... -66.3 eV for the cell shown
D(E_F) ... 10.26 states/eV/f.u.